# Rb2LaInBr6

Rb2LaInBr6 after structural relaxation (PBE-GGA, Alexandria).

Geometry as POSCAR:
```
Rb2LaInBr6
1.0
8.6142 0.0000 0.0000
0.0000 8.6142 0.0000
4.3071 4.3071 6.0931
In Br Rb La
1 6 2 1
Cartesian
4.3071 4.3071 0.0000 In
4.3071 4.3071 3.1667 Br
8.6142 8.6142 2.9264 Br
2.0689 2.0689 0.0000 Br
6.5453 6.5453 0.0000 Br
6.5453 2.0689 0.0000 Br
2.0689 6.5453 0.0000 Br
8.6142 4.3071 3.0466 Rb
4.3071 8.6142 3.0466 Rb
0.0000 0.0000 0.0000 La
```

Results
Energy above the lowest structure with this stoichiometry   62 meV/atom
Symmetry   Fm-3m (225)

# Rb2LaInBr6

Rb2LaInBr6 after structural relaxation (PBE-GGA, Alexandria).

Geometry as POSCAR:
```
Rb2LaInBr6
1.0
-0.1658 4.8904 6.5097
-4.9749 -5.7597 4.2003
9.6124 -5.0894 4.4062
Rb La In Br
4 2 2 12
Cartesian
-2.1487 -6.4555 5.1892 Rb
4.2853 -4.5743 9.2027 Rb
6.6204 0.4968 9.9269 Rb
0.1863 -1.3844 5.9134 Rb
4.7233 -0.0995 5.4579 La
-2.4875 -2.8799 2.1001 La
-0.0829 2.4452 3.2548 In
2.3187 -5.4246 4.3032 In
-2.9114 -2.7869 5.0200 Br
1.1465 -3.6568 11.0398 Br
7.3830 -3.1718 10.0961 Br
3.3251 -2.3019 4.0764 Br
0.5493 -4.7403 7.0321 Br
4.9344 -5.2313 12.7756 Br
3.9223 -1.2185 8.0841 Br
-0.4628 -0.7274 2.3406 Br
-0.5873 -0.0501 9.0481 Br
2.2662 -7.3967 9.7150 Br
5.0590 -5.9086 6.0680 Br
2.2055 1.4380 5.4011 Br
```

Results
Energy above the lowest structure with this stoichiometry   0 meV/atom
Symmetry   P2_1/c (14)

# La2InRuBr

La2InRuBr after structural relaxation (PBE-GGA, Alexandria).

Geometry as POSCAR:
```
La2InRuBr
1.0
5.4899 0.0000 0.0000
0.0000 5.4899 0.0000
0.0000 0.0000 5.2140
Ru In Br La
1 1 1 2
Cartesian
0.0000 0.0000 0.0000 Ru
0.0000 0.0000 2.6070 In
2.7449 2.7449 2.6070 Br
0.0000 2.7449 0.0000 La
2.7449 0.0000 0.0000 La
```

Results
Electronic total energy   -5.307 eV per atom
Symmetry   P4/mmm (123)

# LaInSeBr2

LaInSeBr2 after structural relaxation (PBE-GGA, Alexandria).

Geometry as POSCAR:
```
LaInSeBr2
1.0
5.8991 0.0000 0.0000
0.0000 5.8991 0.0000
0.0000 0.0000 5.7512
In Se Br La
1 1 2 1
Cartesian
2.9495 2.9495 2.8756 In
0.0000 0.0000 2.8756 Se
0.0000 2.9495 0.0000 Br
2.9495 0.0000 0.0000 Br
0.0000 0.0000 0.0000 La
```

Results
Electronic total energy   -4.179 eV per atom
Symmetry   P4/mmm (123)

# La4InSiBr2

La4InSiBr2 after structural relaxation (PBE-GGA, Alexandria).

Geometry as POSCAR:
```
La4InSiBr2
1.0
-1.3043 -4.2024 -0.0380
4.3785 -1.4178 6.5151
-7.0281 2.1622 2.1156
La In Si Br
4 1 1 2
Cartesian
-1.2443 -1.9352 1.9536 La
-2.7096 -1.5228 6.6392 La
-4.3090 1.3091 3.1318 La
1.6594 -0.5647 5.4989 La
1.5371 -2.8101 3.2386 In
0.0000 0.0000 0.0000 Si
-4.1662 -1.0201 1.0388 Br
-1.3248 0.3722 4.3154 Br
```

Results
Electronic total energy   -4.883 eV per atom
Symmetry   P2/m (10)

# La6InSi2Br3

La6InSi2Br3 after structural relaxation (PBE-GGA, Alexandria).

Geometry as POSCAR:
```
La6InSi2Br3
1.0
4.3913 0.0000 0.0000
0.0000 9.0363 0.4074
-2.1956 -2.5173 9.3970
La In Si Br
6 1 2 3
Cartesian
0.0000 6.3411 6.6087 La
2.1956 4.2581 3.5090 La
2.1956 0.1779 3.1958 La
0.0000 2.2852 0.2961 La
2.1956 4.2338 9.5084 La
0.0000 2.2609 6.2954 La
2.1956 0.0000 0.0000 In
2.1956 4.3106 6.5066 Si
0.0000 2.2084 3.2978 Si
2.1956 4.5182 0.2037 Br
2.1956 -0.1854 6.3549 Br
0.0000 6.7044 3.4495 Br
```

Results
Electronic total energy   -5.052 eV per atom
Symmetry   C2/m (12)

# LaInSiBr2

LaInSiBr2 after structural relaxation (PBE-GGA, Alexandria).

Geometry as POSCAR:
```
LaInSiBr2
1.0
-2.9371 0.3670 -4.9774
-5.0638 -0.1656 2.9758
0.0456 5.7770 0.3991
Si In Br La
1 1 2 1
Cartesian
-2.5319 -0.0828 1.4879 Si
-3.9777 2.9892 -0.8012 In
0.0228 2.8885 0.1995 Br
-1.4685 0.1835 -2.4887 Br
0.0000 0.0000 0.0000 La
```

Results
Electronic total energy   -3.709 eV per atom
Symmetry   P4/mmm (123)

# LaInSn2Br8

LaInSn2Br8 after structural relaxation (PBE-GGA, Alexandria).

Geometry as POSCAR:
```
LaInSn2Br8
1.0
7.3075 0.0250 0.0015
0.0815 6.9569 -0.0032
0.0143 0.0168 9.1794
La In Sn Br
1 1 2 8
Cartesian
0.0000 0.0000 0.0000 La
0.0071 0.0084 4.5897 In
3.7030 3.5018 6.8242 Sn
3.7002 3.4969 2.3534 Sn
1.2708 5.2694 2.1094 Br
4.9827 5.2188 0.0054 Br
6.1271 1.7220 2.1119 Br
6.1325 1.7293 7.0682 Br
2.4206 1.7798 9.1723 Br
1.2762 5.2766 7.0657 Br
4.7551 5.0477 4.5782 Br
2.6482 1.9509 4.5994 Br
```

Results
Electronic total energy   -3.555 eV per atom
Symmetry   P-1 (2)

# SrLa2InBr

SrLa2InBr after structural relaxation (PBE-GGA, Alexandria).

Geometry as POSCAR:
```
SrLa2InBr
1.0
-2.5086 -5.0656 -0.5487
4.3342 -2.4498 2.8007
-2.7189 0.8136 4.9193
Sr In Br La
1 1 1 2
Cartesian
2.1671 -1.2249 1.4004 Sr
-0.4466 -3.3509 3.5857 In
0.0000 0.0000 0.0000 Br
-1.3594 0.4068 2.4597 La
-1.2543 -2.5328 -0.2743 La
```

Results
Electronic total energy   -3.615 eV per atom
Symmetry   P4/mmm (123)

# LaTlIn2Br6

LaTlIn2Br6 after structural relaxation (PBE-GGA, Alexandria).

Geometry as POSCAR:
```
LaTlIn2Br6
1.0
8.2435 0.0059 0.0020
4.1268 7.1379 0.0020
4.1252 2.3829 7.1086
La Tl In Br
1 1 2 6
Cartesian
4.1227 2.3807 0.2525 La
12.3697 7.1457 4.0009 Tl
8.2493 4.7623 3.0647 In
4.1267 2.3840 6.7720 In
6.6320 2.0600 1.7525 Br
6.7132 7.5088 1.7551 Br
11.3959 4.7237 1.7539 Br
9.4203 6.7201 5.4367 Br
9.3580 2.7665 5.4422 Br
5.9662 4.8001 5.4391 Br
```

Results
Electronic total energy   -3.517 eV per atom
Symmetry   P1 (1)

# LaTl2InBr6

LaTl2InBr6 after structural relaxation (PBE-GGA, Alexandria).

Geometry as POSCAR:
```
LaTl2InBr6
1.0
-4.4344 -1.9856 -6.2603
-4.7673 -5.2156 5.0311
-7.5178 8.5163 1.7050
La Tl In Br
2 4 2 12
Cartesian
-5.9761 3.2653 -2.2776 La
-2.3836 -2.6078 2.5156 La
-6.5551 -2.5605 4.9140 Tl
-10.8970 2.4927 0.9117 Tl
-10.1644 3.8756 -4.4382 Tl
-5.8225 -1.1777 -0.4359 Tl
-2.2172 -0.9928 -3.1301 In
-6.1426 1.6503 3.3681 In
-4.9382 -3.7041 1.5280 Br
-11.6598 -1.2543 0.0371 Br
-11.7813 5.0191 -1.0522 Br
-5.0597 2.5694 0.4387 Br
-8.0386 -0.8596 2.2307 Br
-14.3193 2.0726 0.2744 Br
-8.6809 2.1746 -1.7548 Br
-2.4003 -0.7575 0.2015 Br
-8.2867 -2.6179 -2.1108 Br
-11.5888 0.7071 3.7297 Br
-8.4328 3.9330 2.5866 Br
-5.1308 0.6080 -3.2538 Br
```

Results
Electronic total energy   -3.524 eV per atom
Symmetry   P2_1/c (14)

# LiInBr3

LiInBr3 after structural relaxation (PBE-GGA, Alexandria).

Geometry as POSCAR:
```
LiInBr3
1.0
4.1755 0.0000 0.0000
0.0000 7.0797 0.0000
-2.0877 0.0000 10.8084
Li In Br
2 2 6
Cartesian
2.0877 6.6811 8.1090 Li
0.0000 3.1413 2.6994 Li
0.0000 3.5903 7.2814 In
2.0877 0.0504 3.5271 In
2.0877 2.1083 8.6453 Br
0.0000 5.6482 2.1631 Br
2.0877 2.1403 1.6601 Br
0.0000 5.6801 9.1484 Br
2.0877 5.2615 5.7979 Br
0.0000 1.7217 5.0106 Br
```

Results
Electronic total energy   -2.921 eV per atom
Symmetry   Cmc2_1 (36)

Across the entries above, size of the total moment takes the values 0.0, 0.0, 0.0, 0.0, 0.0, 0.0, 0.0, 0.0, 0.0, 0.0, 0.0, 0.0 μB per formula unit, respectively.
Across the entries above, volume takes the values 45.2, 41.5, 31.4, 40.0, 31.7, 31.4, 39.4, 38.9, 36.8, 41.8, 39.4, 32.0 Å³/atom, respectively.